(1)
A plane-wave DFT calculation with GGA-PBE was carried out for LiScPd after structural relaxation.

a b c (Å): 3.782 3.782 7.535
angles (deg): 90.00 90.00 90.00
Space group P4/nmm (No. 129, origin choice 2)
Unique sites:
Li  0.250  0.750  0.000 (multiplicity 2)
Sc  0.250  0.250  0.359 (multiplicity 2)
Pd  0.250  0.250  0.731 (multiplicity 2)

Summary:
E_form (eV per atom): -0.56
Density of states at the Fermi level (states/eV/atom): 0.721
Polymorph energy (0 for the lowest one) (eV per atom): 0.009



(2)
A plane-wave DFT calculation with GGA-PBE was carried out for Y4Si2N after structural relaxation.

a b c (Å): 4.551 4.551 15.759
angles (deg): 90.00 90.00 90.00
Space group I4/mmm (No. 139)
Unique sites:
Y  0.000  0.000  0.178 (multiplicity 4)
Y  0.000  0.500  0.000 (multiplicity 4)
Si  0.000  0.000  0.364 (multiplicity 4)
N  0.000  0.000  0.500 (multiplicity 2)

Summary:
Density of states at the Fermi level (states/eV/atom): 0.975
Polymorph energy (0 for the lowest one) (eV per atom): 0.390
Formation energy from raw total energies (eV per atom): -0.515



What did the second record say?
A plane-wave DFT calculation with GGA-PBE was carried out for Y4Si2N after structural relaxation.

a b c (Å): 4.551 4.551 15.759
angles (deg): 90.00 90.00 90.00
Space group I4/mmm (No. 139)
Unique sites:
Y  0.000  0.000  0.178 (multiplicity 4)
Y  0.000  0.500  0.000 (multiplicity 4)
Si  0.000  0.000  0.364 (multiplicity 4)
N  0.000  0.000  0.500 (multiplicity 2)

Summary:
Density of states at the Fermi level (states/eV/atom): 0.975
Polymorph energy (0 for the lowest one) (eV per atom): 0.390
Formation energy from raw total energies (eV per atom): -0.515